Li2Zn2Au7: optimized geometry, PBE.

Results
* space-group type: C2/m
* uncorrected energy: -31.40 eV for the cell shown

Structure (POSCAR):
```
Li2Zn2Au7
1.0
4.698 -4.208 0.000
4.698 4.208 0.000
-0.828 0.000 5.088
Li Zn Au
2 2 7
direct
0.243 0.243 0.243
0.757 0.757 0.757
0.216 0.784 0.000
0.784 0.216 0.000
0.000 0.000 0.500
0.027 0.410 0.742
0.410 0.027 0.742
0.466 0.466 0.736
0.534 0.534 0.264
0.590 0.973 0.258
0.973 0.590 0.258
```